1.
## YTlPt5 (PBE)

Data for an optimized crystal structure of YTlPt5.

Geometry as POSCAR:
```
YTlPt5
1.0
8.8505 0.0000 0.0000
0.0000 5.3306 0.0000
0.0000 0.0000 11.3864
Y Tl Pt
4 4 20
direct
0.2326 0.2500 0.0847 Y
0.2674 0.7500 0.5847 Y
0.7326 0.2500 0.4153 Y
0.7674 0.7500 0.9153 Y
0.1541 0.7500 0.8711 Tl
0.3459 0.2500 0.3711 Tl
0.6541 0.7500 0.6289 Tl
0.8459 0.2500 0.1289 Tl
0.0260 0.7500 0.0870 Pt
0.0338 0.2500 0.5021 Pt
0.0666 0.0040 0.2966 Pt
0.0666 0.4960 0.2966 Pt
0.1950 0.2500 0.7143 Pt
0.3050 0.7500 0.2143 Pt
0.4334 0.5040 0.7966 Pt
0.4334 0.9960 0.7966 Pt
0.4662 0.7500 0.0021 Pt
0.4740 0.2500 0.5870 Pt
0.5260 0.7500 0.4130 Pt
0.5338 0.2500 0.9979 Pt
0.5666 0.0040 0.2034 Pt
0.5666 0.4960 0.2034 Pt
0.6950 0.2500 0.7857 Pt
0.8050 0.7500 0.2857 Pt
0.9334 0.5040 0.7034 Pt
0.9334 0.9960 0.7034 Pt
0.9662 0.7500 0.4979 Pt
0.9740 0.2500 0.9130 Pt
```

## Properties
D(E_F) = 12.54 states/eV per cell
spin magnetization = 0.00 μB/f.u.
energy of formation = -0.52 eV per atom
symmetry = Pnma



2.
## YTlPt3 (PBE)

Data for an optimized crystal structure of YTlPt3.

Geometry as POSCAR:
```
YTlPt3
1.0
5.0168 0.0000 0.0000
0.0000 5.0168 0.0000
0.0000 0.0000 5.0168
Y Tl Pt
1 1 3
direct
0.0000 0.0000 0.0000 Y
0.5000 0.5000 0.5000 Tl
0.0000 0.5000 0.5000 Pt
0.5000 0.0000 0.5000 Pt
0.5000 0.5000 0.0000 Pt
```

## Properties
D(E_F) = 2.80 states/eV per cell
excess energy over the best structure of this formula in the dataset = 0.000 eV/atom
spin magnetization = 0.00 μB/f.u.
energy of formation = 0.39 eV per atom
symmetry = Pm-3m



3.
## Y8TlPt2 (PBE)

Data for an optimized crystal structure of Y8TlPt2.

Geometry as POSCAR:
```
Y8TlPt2
1.0
4.3969 -6.7750 0.0000
4.3969 6.7750 0.0000
-1.4043 0.0000 5.3014
Y Tl Pt
8 1 2
direct
0.0782 0.3305 0.5782 Y
0.2437 0.7563 0.0000 Y
0.3305 0.0782 0.5782 Y
0.3909 0.3909 0.1962 Y
0.6091 0.6091 0.8038 Y
0.6695 0.9218 0.4218 Y
0.7563 0.2437 0.0000 Y
0.9218 0.6695 0.4218 Y
0.0000 0.0000 0.0000 Tl
0.3051 0.6949 0.5000 Pt
0.6949 0.3051 0.5000 Pt
```

## Properties
D(E_F) = 14.25 states/eV per cell
spin magnetization = 0.76 μB/f.u.
energy of formation = -0.49 eV per atom
symmetry = C2/m



4.
## Y5Tl2Pt (PBE)

Data for an optimized crystal structure of Y5Tl2Pt.

Geometry as POSCAR:
```
Y5Tl2Pt
1.0
7.4414 0.0000 0.0000
0.0000 12.5600 0.0000
0.0000 0.0000 4.7623
Y Tl Pt
10 4 2
direct
0.0000 0.0000 0.0000 Y
0.1379 0.2890 0.0000 Y
0.1799 0.5786 0.5000 Y
0.3201 0.0786 0.5000 Y
0.3621 0.7890 0.0000 Y
0.5000 0.5000 0.0000 Y
0.6379 0.2110 0.0000 Y
0.6799 0.9214 0.5000 Y
0.8201 0.4214 0.5000 Y
0.8621 0.7110 0.0000 Y
0.0858 0.8345 0.5000 Tl
0.4142 0.3345 0.5000 Tl
0.5858 0.6655 0.5000 Tl
0.9142 0.1655 0.5000 Tl
0.0000 0.5000 0.0000 Pt
0.5000 0.0000 0.0000 Pt
```

## Properties
D(E_F) = 14.30 states/eV per cell
spin magnetization = 0.00 μB/f.u.
energy of formation = -0.56 eV per atom
symmetry = Pbam



5.
## Y2Tl2Pt (PBE)

Data for an optimized crystal structure of Y2Tl2Pt.

Geometry as POSCAR:
```
Y2Tl2Pt
1.0
7.4116 0.0000 0.0000
0.0000 7.4116 0.0000
0.0000 0.0000 5.1266
Y Tl Pt
4 4 2
direct
0.1645 0.3355 0.0000 Y
0.3355 0.8355 0.0000 Y
0.6645 0.1645 0.0000 Y
0.8355 0.6645 0.0000 Y
0.1530 0.6530 0.5000 Tl
0.3470 0.1530 0.5000 Tl
0.6530 0.8470 0.5000 Tl
0.8470 0.3470 0.5000 Tl
0.0000 0.0000 0.0000 Pt
0.5000 0.5000 0.0000 Pt
```

## Properties
D(E_F) = 6.35 states/eV per cell
excess energy over the best structure of this formula in the dataset = 0.070 eV/atom
spin magnetization = 0.00 μB/f.u.
energy of formation = -0.34 eV per atom
symmetry = P4/mbm



6.
## YZrTl2Pt (PBE)

Data for an optimized crystal structure of YZrTl2Pt.

Geometry as POSCAR:
```
YZrTl2Pt
1.0
5.6016 0.0000 0.0000
0.0000 5.6016 0.0000
0.0000 0.0000 4.9815
Y Zr Tl Pt
1 1 2 1
direct
0.0000 0.0000 0.0000 Y
0.5000 0.5000 0.5000 Zr
0.0000 0.5000 0.0000 Tl
0.5000 0.0000 0.0000 Tl
0.0000 0.0000 0.5000 Pt
```

## Properties
D(E_F) = 5.39 states/eV per cell
spin magnetization = 0.00 μB/f.u.
energy of formation = 0.84 eV per atom
symmetry = P4/mmm



7.
## TlZnPt2 (PBE)

Data for an optimized crystal structure of TlZnPt2.

Geometry as POSCAR:
```
TlZnPt2
1.0
2.9562 0.0000 0.0000
0.0000 4.2752 0.0000
-1.1363 0.0000 5.8251
Tl Zn Pt
1 1 2
direct
0.0000 0.0000 0.0000 Tl
0.7503 0.5000 0.4091 Zn
0.2689 0.0000 0.4735 Pt
0.4240 0.5000 0.8000 Pt
```

## Properties
D(E_F) = 1.83 states/eV per cell
spin magnetization = 0.00 μB/f.u.
energy of formation = -0.13 eV per atom
symmetry = Pm



8.
## TlZn2Pt (PBE)

Data for an optimized crystal structure of TlZn2Pt.

Geometry as POSCAR:
```
TlZn2Pt
1.0
2.9642 0.0000 0.0000
0.0000 3.4712 0.0000
-0.5294 0.0000 7.3893
Tl Zn Pt
1 2 1
direct
0.0000 0.0000 0.0000 Tl
0.4670 0.5000 0.3140 Zn
0.5330 0.5000 0.6860 Zn
0.0000 0.0000 0.5000 Pt
```

## Properties
D(E_F) = 0.75 states/eV per cell
excess energy over the best structure of this formula in the dataset = 0.058 eV/atom
spin magnetization = 0.00 μB/f.u.
energy of formation = -0.15 eV per atom
symmetry = P2/m



9.
## TlZnPt2 (PBE)

Data for an optimized crystal structure of TlZnPt2.

Geometry as POSCAR:
```
TlZnPt2
1.0
2.9325 0.0000 0.0000
0.0000 3.3738 0.0000
0.0000 0.0000 6.9811
Tl Zn Pt
1 1 2
direct
0.0000 0.0000 0.0000 Tl
0.0000 0.0000 0.5000 Zn
0.5000 0.5000 0.2888 Pt
0.5000 0.5000 0.7112 Pt
```

## Properties
D(E_F) = 1.45 states/eV per cell
spin magnetization = 0.00 μB/f.u.
energy of formation = -0.19 eV per atom
symmetry = Pmmm



10.
## TlZn2Pt (PBE)

Data for an optimized crystal structure of TlZn2Pt.

Geometry as POSCAR:
```
TlZn2Pt
1.0
-2.0526 2.0526 4.1057
2.0526 -2.0526 4.1057
2.0526 2.0526 -4.1057
Tl Zn Pt
1 2 1
direct
0.0000 0.0000 0.0000 Tl
0.2500 0.7500 0.5000 Zn
0.5000 0.5000 0.0000 Zn
0.7500 0.2500 0.5000 Pt
```

## Properties
D(E_F) = 1.20 states/eV per cell
excess energy over the best structure of this formula in the dataset = 0.191 eV/atom
spin magnetization = 0.00 μB/f.u.
energy of formation = -0.02 eV per atom
symmetry = I-4m2



11.
## TlZn2Pt (PBE)

Data for an optimized crystal structure of TlZn2Pt.

Geometry as POSCAR:
```
TlZn2Pt
1.0
-2.1035 2.1035 9.0989
2.1035 -2.1035 9.0989
2.1035 2.1035 -9.0989
Tl Zn Pt
2 4 2
direct
0.0000 0.0000 0.0000 Tl
0.7500 0.2500 0.5000 Tl
0.1984 0.6250 0.0734 Zn
0.3750 0.4484 0.5734 Zn
0.5516 0.1250 0.9266 Zn
0.8750 0.8016 0.4266 Zn
0.2500 0.7500 0.5000 Pt
0.5000 0.5000 0.0000 Pt
```

## Properties
D(E_F) = 3.00 states/eV per cell
excess energy over the best structure of this formula in the dataset = 0.234 eV/atom
spin magnetization = 0.00 μB/f.u.
energy of formation = 0.03 eV per atom
symmetry = I-42d



12.
## TlZnPt2 (PBE)

Data for an optimized crystal structure of TlZnPt2.

Geometry as POSCAR:
```
TlZnPt2
1.0
-2.0387 2.0387 9.1589
2.0387 -2.0387 9.1589
2.0387 2.0387 -9.1589
Tl Zn Pt
2 2 4
direct
0.0000 0.0000 0.0000 Tl
0.7500 0.2500 0.5000 Tl
0.2500 0.7500 0.5000 Zn
0.5000 0.5000 0.0000 Zn
0.1515 0.6250 0.0265 Pt
0.3750 0.4015 0.5265 Pt
0.5985 0.1250 0.9735 Pt
0.8750 0.8485 0.4735 Pt
```

## Properties
D(E_F) = 3.50 states/eV per cell
spin magnetization = 0.00 μB/f.u.
energy of formation = 0.04 eV per atom
symmetry = I-42d



13.
## TlZnPt2 (PBE)

Data for an optimized crystal structure of TlZnPt2.

Geometry as POSCAR:
```
TlZnPt2
1.0
2.9653 0.0000 0.0000
0.0000 2.9653 0.0000
0.0000 0.0000 8.3907
Tl Zn Pt
1 1 2
direct
0.0000 0.0000 0.0000 Tl
0.5000 0.5000 0.3230 Zn
0.0000 0.0000 0.5065 Pt
0.5000 0.5000 0.7406 Pt
```

## Properties
D(E_F) = 2.40 states/eV per cell
spin magnetization = 0.00 μB/f.u.
energy of formation = -0.01 eV per atom
symmetry = P4mm



14.
## TlZn2Pt (PBE)

Data for an optimized crystal structure of TlZn2Pt.

Geometry as POSCAR:
```
TlZn2Pt
1.0
1.5911 0.9186 8.6710
-1.5911 0.9186 8.6710
0.0000 -1.8373 8.6710
Tl Zn Pt
1 2 1
direct
0.0000 0.0000 0.0000 Tl
0.2378 0.2378 0.2378 Zn
0.7622 0.7622 0.7622 Zn
0.5000 0.5000 0.5000 Pt
```

## Properties
D(E_F) = 1.18 states/eV per cell
excess energy over the best structure of this formula in the dataset = 0.162 eV/atom
spin magnetization = 0.00 μB/f.u.
energy of formation = -0.05 eV per atom
symmetry = R-3m



15.
## Tl3ZnPt (PBE)

Data for an optimized crystal structure of Tl3ZnPt.

Geometry as POSCAR:
```
Tl3ZnPt
1.0
5.3687 0.0000 0.0000
0.0000 5.3687 0.0000
0.0000 0.0000 5.3687
Tl Zn Pt
3 1 1
direct
0.0000 0.0000 0.5000 Tl
0.0000 0.5000 0.0000 Tl
0.5000 0.0000 0.0000 Tl
0.5000 0.5000 0.5000 Zn
0.0000 0.0000 0.0000 Pt
```

## Properties
D(E_F) = 2.50 states/eV per cell
excess energy over the best structure of this formula in the dataset = 0.000 eV/atom
spin magnetization = 0.00 μB/f.u.
energy of formation = 0.13 eV per atom
symmetry = Pm-3m



16.
## TlZnPt2 (PBE)

Data for an optimized crystal structure of TlZnPt2.

Geometry as POSCAR:
```
TlZnPt2
1.0
4.2542 -1.5303 0.0000
4.2542 1.5303 0.0000
-1.1192 0.0000 5.4760
Tl Zn Pt
1 1 2
direct
0.0000 0.0000 0.0000 Tl
0.5000 0.5000 0.5000 Zn
0.2363 0.2363 0.7142 Pt
0.7637 0.7637 0.2858 Pt
```

## Properties
D(E_F) = 0.58 states/eV per cell
spin magnetization = 0.00 μB/f.u.
energy of formation = -0.11 eV per atom
symmetry = C2/m



17.
## TlZnPt2 (PBE)

Data for an optimized crystal structure of TlZnPt2.

Geometry as POSCAR:
```
TlZnPt2
1.0
4.9903 -1.5029 0.0000
4.9903 1.5029 0.0000
-1.1326 0.0000 4.6503
Tl Zn Pt
1 1 2
direct
0.0000 0.0000 0.0000 Tl
0.2294 0.2294 0.6305 Zn
0.4943 0.4943 0.5040 Pt
0.7510 0.7510 0.1642 Pt
```

## Properties
D(E_F) = 1.22 states/eV per cell
spin magnetization = 0.00 μB/f.u.
energy of formation = -0.09 eV per atom
symmetry = Cm



18.
## TlZn2Pt (PBE)

Data for an optimized crystal structure of TlZn2Pt.

Geometry as POSCAR:
```
TlZn2Pt
1.0
3.5007 0.0000 0.0000
0.0000 4.2776 0.0000
-1.1256 0.0000 5.0314
Tl Zn Pt
1 2 1
direct
0.0000 0.0000 0.0000 Tl
0.3386 0.0000 0.5181 Zn
0.7879 0.5000 0.3804 Zn
0.4500 0.5000 0.7919 Pt
```

## Properties
D(E_F) = 1.42 states/eV per cell
excess energy over the best structure of this formula in the dataset = 0.152 eV/atom
spin magnetization = 0.00 μB/f.u.
energy of formation = -0.06 eV per atom
symmetry = Pm



19.
## TlZn2Pt (PBE)

Data for an optimized crystal structure of TlZn2Pt.

Geometry as POSCAR:
```
TlZn2Pt
1.0
-2.0868 2.0868 4.0035
2.0868 -2.0868 4.0035
2.0868 2.0868 -4.0035
Tl Zn Pt
1 2 1
direct
0.0000 0.0000 0.0000 Tl
0.2500 0.7500 0.5000 Zn
0.7500 0.2500 0.5000 Zn
0.5000 0.5000 0.0000 Pt
```

## Properties
D(E_F) = 1.01 states/eV per cell
excess energy over the best structure of this formula in the dataset = 0.182 eV/atom
spin magnetization = 0.00 μB/f.u.
energy of formation = -0.03 eV per atom
symmetry = I4/mmm



20.
## TlZn4Pt15 (PBE)

Data for an optimized crystal structure of TlZn4Pt15.

Geometry as POSCAR:
```
TlZn4Pt15
1.0
3.9568 0.0000 0.0000
0.0000 3.9568 0.0000
0.0000 0.0000 19.9206
Tl Zn Pt
1 4 15
direct
0.0000 0.0000 0.0000 Tl
0.0000 0.0000 0.2062 Zn
0.0000 0.0000 0.4020 Zn
0.0000 0.0000 0.5980 Zn
0.0000 0.0000 0.7938 Zn
0.0000 0.5000 0.1097 Pt
0.0000 0.5000 0.3042 Pt
0.0000 0.5000 0.5000 Pt
0.0000 0.5000 0.6958 Pt
0.0000 0.5000 0.8903 Pt
0.5000 0.0000 0.1097 Pt
0.5000 0.0000 0.3042 Pt
0.5000 0.0000 0.5000 Pt
0.5000 0.0000 0.6958 Pt
0.5000 0.0000 0.8903 Pt
0.5000 0.5000 0.0000 Pt
0.5000 0.5000 0.2067 Pt
0.5000 0.5000 0.4020 Pt
0.5000 0.5000 0.5980 Pt
0.5000 0.5000 0.7933 Pt
```

## Properties
D(E_F) = 19.04 states/eV per cell
spin magnetization = 0.00 μB/f.u.
energy of formation = -0.27 eV per atom
symmetry = P4/mmm



21.
## TlZnPt2 (PBE)

Data for an optimized crystal structure of TlZnPt2.

Geometry as POSCAR:
```
TlZnPt2
1.0
4.1438 0.0000 0.0000
0.0000 4.1438 0.0000
0.0000 0.0000 3.9635
Tl Zn Pt
1 1 2
direct
0.0000 0.0000 0.0000 Tl
0.5000 0.5000 0.0000 Zn
0.0000 0.5000 0.5000 Pt
0.5000 0.0000 0.5000 Pt
```

## Properties
D(E_F) = 1.78 states/eV per cell
spin magnetization = 0.00 μB/f.u.
energy of formation = -0.15 eV per atom
symmetry = P4/mmm



22.
## TlZn4Pt (PBE)

Data for an optimized crystal structure of TlZn4Pt.

Geometry as POSCAR:
```
TlZn4Pt
1.0
0.0000 3.6655 3.6655
3.6655 0.0000 3.6655
3.6655 3.6655 0.0000
Tl Zn Pt
1 4 1
direct
0.0000 0.0000 0.0000 Tl
0.1286 0.6238 0.6238 Zn
0.6238 0.1286 0.6238 Zn
0.6238 0.6238 0.1286 Zn
0.6238 0.6238 0.6238 Zn
0.2500 0.2500 0.2500 Pt
```

## Properties
D(E_F) = 2.07 states/eV per cell
spin magnetization = 0.00 μB/f.u.
energy of formation = -0.01 eV per atom
symmetry = F-43m



23.
## TlZnPt4 (PBE)

Data for an optimized crystal structure of TlZnPt4.

Geometry as POSCAR:
```
TlZnPt4
1.0
0.0000 3.7989 3.7989
3.7989 0.0000 3.7989
3.7989 3.7989 0.0000
Tl Zn Pt
1 1 4
direct
0.0000 0.0000 0.0000 Tl
0.7500 0.7500 0.7500 Zn
0.3751 0.3751 0.3751 Pt
0.3751 0.3751 0.8746 Pt
0.3751 0.8746 0.3751 Pt
0.8746 0.3751 0.3751 Pt
```

## Properties
D(E_F) = 6.06 states/eV per cell
spin magnetization = 0.00 μB/f.u.
energy of formation = 0.00 eV per atom
symmetry = F-43m



24.
## Tl3ZnPt (PBE)

Data for an optimized crystal structure of Tl3ZnPt.

Geometry as POSCAR:
```
Tl3ZnPt
1.0
5.2002 0.0000 0.0000
0.0000 5.2002 0.0000
0.0000 0.0000 5.2002
Tl Zn Pt
3 1 1
direct
0.0000 0.0000 0.5000 Tl
0.0000 0.5000 0.0000 Tl
0.5000 0.0000 0.0000 Tl
0.0000 0.0000 0.0000 Zn
0.5000 0.5000 0.5000 Pt
```

## Properties
D(E_F) = 1.91 states/eV per cell
excess energy over the best structure of this formula in the dataset = 0.441 eV/atom
spin magnetization = 0.00 μB/f.u.
energy of formation = 0.57 eV per atom
symmetry = Pm-3m



25.
## TlZn3Pt (PBE)

Data for an optimized crystal structure of TlZn3Pt.

Geometry as POSCAR:
```
TlZn3Pt
1.0
4.8986 0.0000 0.0000
0.0000 4.8986 0.0000
0.0000 0.0000 4.8986
Tl Zn Pt
1 3 1
direct
0.0000 0.0000 0.0000 Tl
0.0000 0.5000 0.5000 Zn
0.5000 0.0000 0.5000 Zn
0.5000 0.5000 0.0000 Zn
0.5000 0.5000 0.5000 Pt
```

## Properties
D(E_F) = 2.09 states/eV per cell
excess energy over the best structure of this formula in the dataset = 0.000 eV/atom
spin magnetization = 0.00 μB/f.u.
energy of formation = -0.10 eV per atom
symmetry = Pm-3m



26.
## TlZn2Pt (PBE)

Data for an optimized crystal structure of TlZn2Pt.

Geometry as POSCAR:
```
TlZn2Pt
1.0
1.5638 0.9029 8.7324
-1.5638 0.9029 8.7324
0.0000 -1.8058 8.7324
Tl Zn Pt
1 2 1
direct
0.0000 0.0000 0.0000 Tl
0.5034 0.5034 0.5034 Zn
0.7591 0.7591 0.7591 Zn
0.2419 0.2419 0.2419 Pt
```

## Properties
D(E_F) = 1.39 states/eV per cell
excess energy over the best structure of this formula in the dataset = 0.266 eV/atom
spin magnetization = 0.00 μB/f.u.
energy of formation = 0.06 eV per atom
symmetry = R3m